Density functional theory data (PBE) for La2Ce3PrS6 after structural relaxation.

The calculation puts the formation energy without anion corrections at -2.077 eV/atom. The calculation puts the total magnetization at 2.644 Bohr magnetons per cell.

Cell and atoms, written as POSCAR:
```
La2Ce3PrS6
1.0
-0.874 -0.699 -3.924
6.506 -4.935 -0.570
-6.137 -5.151 4.408
Ce La S Pr
3 2 6 1
direct
0.500 0.500 0.000
0.833 0.167 0.667
0.167 0.833 0.333
0.834 0.667 0.667
0.166 0.333 0.333
0.998 0.253 0.996
0.332 0.922 0.665
0.335 0.412 0.670
0.002 0.747 0.004
0.668 0.078 0.335
0.665 0.588 0.330
0.500 0.000 0.000
```